A plane-wave DFT calculation with PBE-GGA was carried out for Ac2Mg2In5 after structural relaxation.

space-group type: P4/mmm, No. 123
ΔH_f (0 K): -0.27 eV/atom

Lattice parameters (Å, degrees): 4.8606 4.8606 11.0576 90.00 90.00 90.00
Last column: nearest neighbours and their distance in Å.
Sites, in units of the cell vectors:
Ac (0.0000, 0.0000, 0.0000)  8 Mg 3.70, 8 In 3.86
Ac (0.0000, 0.0000, 0.5000)  12 In 3.44-3.51
Mg (0.5000, 0.5000, 0.1240)  1 Mg 2.74, 4 In 2.92
Mg (0.5000, 0.5000, 0.8760)  1 Mg 2.74, 4 In 2.92
In (0.0000, 0.5000, 0.2709)  2 Mg 2.92
In (0.0000, 0.5000, 0.7291)  2 Mg 2.92
In (0.5000, 0.0000, 0.2709)  2 Mg 2.92
In (0.5000, 0.0000, 0.7291)  2 Mg 2.92
In (0.5000, 0.5000, 0.5000)  4 Ac 3.44, 8 In 3.51

A plane-wave DFT calculation with PBE-GGA was carried out for Ac5MgIn6 after structural relaxation.

space-group type: Immm, No. 71
ΔH_f (0 K): -0.36 eV/atom

Lattice parameters (Å, degrees): 9.8841 9.8841 9.8841 146.43 132.20 59.68
Last column: nearest neighbours and their distance in Å.
Sites, in units of the cell vectors:
Ac (0.0000, 0.0000, 0.0000)  8 In 3.41-3.65
Ac (0.1635, 0.6635, 0.5000)  8 In 3.60-3.64, 6 Ac 3.97-4.01
Ac (0.3240, 0.3240, 0.0000)  8 In 3.41-3.66
Ac (0.6760, 0.6760, 0.0000)  8 In 3.41-3.66
Ac (0.8365, 0.3365, 0.5000)  8 In 3.60-3.64, 6 Ac 3.97-4.01
Mg (0.5000, 0.0000, 0.5000)  8 In 3.19-3.34
In (0.1201, 0.8472, 0.2729)  1 Mg 3.19, 3 Ac 3.41
In (0.2835, 0.5000, 0.7835)  2 Mg 3.34, 1 In 3.47, 6 Ac 3.48-3.65
In (0.4257, 0.1528, 0.2729)  1 Mg 3.19, 3 Ac 3.41
In (0.5743, 0.8472, 0.7271)  1 Mg 3.19, 3 Ac 3.41
In (0.7165, 0.5000, 0.2165)  2 Mg 3.34, 1 In 3.47, 6 Ac 3.48-3.65
In (0.8799, 0.1528, 0.7271)  1 Mg 3.19, 3 Ac 3.41

A plane-wave DFT calculation with PBE-GGA was carried out for NaAcMgIn after structural relaxation.

space-group type: F-43m, No. 216
ΔH_f (0 K): -0.13 eV/atom

Lattice parameters (Å, degrees): 7.8023 7.8023 7.8023 90.00 90.00 90.00
Last column: nearest neighbours and their distance in Å.
Sites, in units of the cell vectors:
Na (0.0000, 0.0000, 0.0000)  4 Ac 3.38, 4 Mg 3.38
Na (0.0000, 0.5000, 0.5000)  4 Ac 3.38, 4 Mg 3.38
Na (0.5000, 0.0000, 0.5000)  4 Ac 3.38, 4 Mg 3.38
Na (0.5000, 0.5000, 0.0000)  4 Ac 3.38, 4 Mg 3.38
Ac (0.2500, 0.2500, 0.2500)  4 In 3.38, 4 Na 3.38
Ac (0.2500, 0.7500, 0.7500)  4 In 3.38, 4 Na 3.38
Ac (0.7500, 0.2500, 0.7500)  4 In 3.38, 4 Na 3.38
Ac (0.7500, 0.7500, 0.2500)  4 In 3.38, 4 Na 3.38
Mg (0.2500, 0.2500, 0.7500)  4 In 3.38, 4 Na 3.38
Mg (0.2500, 0.7500, 0.2500)  4 In 3.38, 4 Na 3.38
Mg (0.7500, 0.2500, 0.2500)  4 In 3.38, 4 Na 3.38
Mg (0.7500, 0.7500, 0.7500)  4 In 3.38, 4 Na 3.38
In (0.0000, 0.0000, 0.5000)  4 Ac 3.38, 4 Mg 3.38
In (0.0000, 0.5000, 0.0000)  4 Ac 3.38, 4 Mg 3.38
In (0.5000, 0.0000, 0.0000)  4 Ac 3.38, 4 Mg 3.38
In (0.5000, 0.5000, 0.5000)  4 Ac 3.38, 4 Mg 3.38